*P*
DFT (PBE) results for an optimized crystal structure of SrTl3Pb2.

Cell: 7.0311 17.1320 6.5445 Å, 90.00 90.00 90.00°
Last column: nearest neighbours and their distance in Å.
Space group Cmcm (No. 63)
Symmetry-distinct sites (fractional):
Sr (0.0000, 0.1566, 0.2500)  8 Tl 3.49-3.72, 4 Pb 3.64
Tl (0.0000, 0.3506, 0.7500)  4 Pb 3.47, 2 Sr 3.52, 6 Tl 3.60-3.72
Tl (0.2488, 0.3326, 0.2500)  2 Pb 3.30, 1 Sr 3.49, 3 Tl 3.50-3.60
Pb (0.2379, 0.5000, 0.0000)  3 Pb 3.27-3.35, 4 Tl 3.30-3.47, 2 Sr 3.64

density of states at the Fermi level	10.26	states/eV per cell

*Q*
DFT (PBE) results for an optimized crystal structure of SrTl3Pb2.

Cell: 23.9639 3.7585 9.3758 Å, 90.00 107.69 90.00°
Last column: nearest neighbours and their distance in Å.
Space group C2/m (No. 12)
Symmetry-distinct sites (fractional):
Sr (0.1517, 0.0000, 0.3419)  5 Tl 3.37-3.57, 3 Pb 3.52-3.72, 2 Sr 3.76
Tl (0.0286, 0.5000, 0.3283)  2 Pb 3.26-3.51, 4 Tl 3.31-3.53, 2 Sr 3.47
Tl (0.0839, 0.0000, 0.6602)  5 Tl 3.31-3.53, 1 Pb 3.45
Tl (0.2288, 0.0000, 0.7083)  3 Pb 3.21-3.37, 1 Tl 3.36, 3 Sr 3.37-3.57
Pb (0.0699, 0.5000, 0.9994)  2 Tl 3.26-3.51, 3 Pb 3.36-3.40
Pb (0.1890, 0.0000, 0.0063)  4 Tl 3.21-3.45, 4 Pb 3.40-3.51, 1 Sr 3.52

density of states at the Fermi level	13.66	states/eV per cell

On energetic grounds, *P* is preferred over the next structure by 5.3 kJ/mol of atoms.

*P*
DFT (PBE) results for an optimized crystal structure of Sr4TlPb.

Cell: 10.1352 10.1352 10.1352 Å, 90.00 90.00 90.00°
Last column: nearest neighbours and their distance in Å.
Space group F-43m (No. 216)
Symmetry-distinct sites (fractional):
Sr (0.1254, 0.1254, 0.1254)  6 Sr 3.57-3.60
Tl (0.2500, 0.2500, 0.7500)  12 Sr 4.20, 4 Pb 4.39
Pb (0.0000, 0.0000, 0.5000)  12 Sr 4.20, 4 Tl 4.39

density of states at the Fermi level	32.47	states/eV per cell

*Q*
DFT (PBE) results for an optimized crystal structure of Sr4TlPb.

Cell: 10.7783 15.3453 7.4723 Å, 90.00 122.41 90.00°
Last column: nearest neighbours and their distance in Å.
Space group C2/c (No. 15)
Symmetry-distinct sites (fractional):
Sr (0.1270, 0.1766, 0.0859)  2 Tl 3.41-3.57, 2 Pb 3.53-3.56
Sr (0.1967, 0.4434, 0.2626)  2 Tl 3.42-3.48, 2 Pb 3.48-3.66
Tl (0.0000, 0.0107, 0.2500)  8 Sr 3.41-3.57, 2 Tl 3.75
Pb (0.0000, 0.3603, 0.7500)  8 Sr 3.48-3.66

density of states at the Fermi level	17.51	states/eV per cell

On energetic grounds, *Q* is preferred over the next structure by 58.8 kJ/mol of atoms.

*P*
DFT (PBE) results for an optimized crystal structure of SrTlPb.

Cell: 7.6148 7.6148 7.6148 Å, 90.00 90.00 90.00°
Last column: nearest neighbours and their distance in Å.
Space group F-43m (No. 216)
Symmetry-distinct sites (fractional):
Sr (0.0000, 0.0000, 0.0000)  4 Tl 3.30
Tl (0.2500, 0.2500, 0.2500)  4 Pb 3.30, 4 Sr 3.30
Pb (0.0000, 0.0000, 0.5000)  4 Tl 3.30

density of states at the Fermi level	8.07	states/eV per cell

*Q*
DFT (PBE) results for an optimized crystal structure of SrTlPb.

Cell: 7.7212 7.7212 7.7212 Å, 90.00 90.00 90.00°
Last column: nearest neighbours and their distance in Å.
Space group F-43m (No. 216)
Symmetry-distinct sites (fractional):
Sr (0.0000, 0.0000, 0.0000)  4 Tl 3.34, 4 Pb 3.34
Tl (0.2500, 0.2500, 0.2500)  4 Sr 3.34
Pb (0.2500, 0.2500, 0.7500)  4 Sr 3.34

density of states at the Fermi level	8.34	states/eV per cell

*R*
DFT (PBE) results for an optimized crystal structure of SrTlPb.

Cell: 5.3693 5.3693 4.0306 Å, 90.00 90.00 120.00°
Last column: nearest neighbours and their distance in Å.
Space group P3m1 (No. 156)
Symmetry-distinct sites (fractional):
Sr (0.0000, 0.0000, 0.0000)  3 Tl 3.41, 3 Pb 3.50
Tl (0.6667, 0.3333, 0.3524)  3 Pb 3.25, 3 Sr 3.41
Pb (0.3333, 0.6667, 0.5955)  3 Tl 3.25, 3 Sr 3.50

density of states at the Fermi level	0.84	states/eV per cell

*S*
DFT (PBE) results for an optimized crystal structure of SrTlPb.

Cell: 3.8658 4.7836 10.7505 Å, 90.00 90.02 90.00°
Last column: nearest neighbours and their distance in Å.
Space group Pm (No. 6)
Symmetry-distinct sites (fractional):
Sr (0.0000, 0.0000, 0.0000)  1 Tl 3.55, 8 Pb 3.57-3.59, 3 Sr 3.69-3.87
Sr (0.9996, 0.0000, 0.3430)  5 Tl 3.51-3.61, 4 Pb 3.60, 3 Sr 3.69-3.87
Tl (0.0085, 0.0000, 0.6699)  6 Tl 3.47-3.87, 4 Pb 3.50-3.53, 2 Sr 3.51-3.55
Tl (0.5026, 0.5000, 0.5184)  1 Pb 3.34, 4 Tl 3.47-3.49, 4 Sr 3.60-3.61
Pb (0.4994, 0.5000, 0.1688)  8 Sr 3.57-3.60, 3 Pb 3.65-3.87, 1 Tl 3.76
Pb (0.5019, 0.5000, 0.8289)  5 Tl 3.34-3.53, 4 Sr 3.58-3.59, 1 Pb 3.65

density of states at the Fermi level	4.46	states/eV per cell

On energetic grounds, *R* is preferred over the next structure by 4.2 kJ/mol of atoms.

*P*
DFT (PBE) results for an optimized crystal structure of SrTlPb.

Cell: 6.9988 8.8501 8.0577 Å, 90.00 124.44 90.00°
Last column: nearest neighbours and their distance in Å.
Space group P2_1/c (No. 14)
Symmetry-distinct sites (fractional):
Sr (0.2326, 0.2248, 0.1205)  4 Tl 3.52-3.67, 5 Pb 3.57-3.82
Tl (0.2572, 0.5762, 0.9284)  3 Pb 3.12-3.32, 1 Tl 3.20
Pb (0.2544, 0.5805, 0.3391)  3 Tl 3.12-3.32, 1 Pb 3.24

density of states at the Fermi level	6.60	states/eV per cell

*Q*
DFT (PBE) results for an optimized crystal structure of SrTlPb.

Cell: 4.9292 5.3952 7.8075 Å, 90.00 108.15 90.00°
Last column: nearest neighbours and their distance in Å.
Space group P2_1/m (No. 11)
Symmetry-distinct sites (fractional):
Sr (0.0966, 0.2500, 0.1940)  4 Tl 3.41-3.47, 6 Pb 3.65-3.67
Tl (0.2456, 0.7500, 0.4882)  4 Pb 3.40-3.70, 4 Sr 3.41-3.47, 4 Tl 3.65-3.67
Pb (0.4134, 0.2500, 0.8289)  4 Tl 3.40-3.70, 6 Sr 3.65-3.67, 2 Pb 3.70

density of states at the Fermi level	2.30	states/eV per cell

*R*
DFT (PBE) results for an optimized crystal structure of SrTlPb.

Cell: 3.8981 4.4864 11.5357 Å, 90.00 90.00 90.00°
Last column: nearest neighbours and their distance in Å.
Space group Imm2 (No. 44)
Symmetry-distinct sites (fractional):
Sr (0.0000, 0.0000, 0.0000)  5 Tl 3.62-3.70, 5 Pb 3.64-3.66, 2 Sr 3.90
Tl (0.0000, 0.0000, 0.6794)  4 Pb 3.36, 5 Sr 3.62-3.70
Pb (0.0000, 0.0000, 0.3153)  4 Tl 3.36, 5 Sr 3.64-3.66

density of states at the Fermi level	3.39	states/eV per cell

On energetic grounds, *Q* is preferred over the next structure by 0.9 kJ/mol of atoms.

*P*
DFT (PBE) results for an optimized crystal structure of Sr3Tl2Pb.

Cell: 4.0533 4.0533 12.6483 Å, 90.00 90.00 90.00°
Last column: nearest neighbours and their distance in Å.
Space group P4/mmm (No. 123)
Symmetry-distinct sites (fractional):
Sr (0.0000, 0.0000, 0.0000)  8 Tl 3.49
Sr (0.0000, 0.0000, 0.3284)  4 Tl 3.59, 4 Pb 3.60
Tl (0.5000, 0.5000, 0.1572)  8 Sr 3.49-3.59
Pb (0.5000, 0.5000, 0.5000)  8 Sr 3.60

density of states at the Fermi level	4.17	states/eV per cell

*Q*
DFT (PBE) results for an optimized crystal structure of Sr3Tl2Pb.

Cell: 5.8727 17.7030 4.0113 Å, 90.00 90.00 90.00°
Last column: nearest neighbours and their distance in Å.
Space group Cmmm (No. 65)
Symmetry-distinct sites (fractional):
Sr (0.0000, 0.0000, 0.0000)  4 Pb 3.56, 4 Tl 3.67
Sr (0.0000, 0.3352, 0.0000)  6 Tl 3.50-3.56, 2 Pb 3.54
Tl (0.0000, 0.1734, 0.5000)  8 Sr 3.50-3.67
Pb (0.0000, 0.5000, 0.5000)  8 Sr 3.54-3.56

density of states at the Fermi level	7.24	states/eV per cell

On energetic grounds, *Q* is preferred over the next structure by 0.5 kJ/mol of atoms.

*P*
DFT (PBE) results for an optimized crystal structure of SrTlPb4.

Cell: 9.3472 9.3472 9.3472 Å, 90.00 90.00 90.00°
Last column: nearest neighbours and their distance in Å.
Space group F-43m (No. 216)
Symmetry-distinct sites (fractional):
Sr (0.0000, 0.0000, 0.0000)  12 Pb 3.87, 4 Tl 4.05
Tl (0.2500, 0.2500, 0.2500)  12 Pb 3.88, 4 Sr 4.05
Pb (0.1260, 0.1260, 0.6260)  6 Pb 3.28-3.33

density of states at the Fermi level	16.61	states/eV per cell

*Q*
DFT (PBE) results for an optimized crystal structure of SrTlPb4.

Cell: 9.7519 7.6058 11.5995 Å, 90.00 114.33 90.00°
Last column: nearest neighbours and their distance in Å.
Space group C2/m (No. 12)
Symmetry-distinct sites (fractional):
Sr (0.2477, 0.0000, 0.0000)  10 Pb 3.54-3.65, 2 Sr 3.80
Tl (0.2500, 0.2500, 0.5000)  10 Pb 3.39-3.56
Pb (0.0801, 0.0000, 0.6649)  7 Pb 3.49-3.80, 1 Sr 3.54, 4 Tl 3.54-3.55
Pb (0.0822, 0.5000, 0.6649)  7 Pb 3.48-3.80, 4 Tl 3.54-3.56, 1 Sr 3.54
Pb (0.0905, 0.2531, 0.1795)  1 Tl 3.39, 6 Pb 3.48-3.79, 4 Sr 3.61-3.65

density of states at the Fermi level	12.46	states/eV per cell

On energetic grounds, *P* is preferred over the next structure by 3.1 kJ/mol of atoms.